Record 1
DFT (GGA-PBE) results for a geometry-optimized PmY2 structure.

Structure (extended XYZ):
```
3
Lattice="0.000 3.879 3.879 3.879 0.000 3.879 3.879 3.879 0.000" Properties=species:S:1:pos:R:3 pbc="T T T"
Pm 0.000 0.000 0.000
Y 1.940 1.940 1.940
Y 5.819 5.819 5.819
```

Calculated values
For the energy relative to the elements, the calculation gives 758 meV/atom. Its symmetry is Fm-3m. The volume comes out at 38.9 Å³ per atom.



Record 2
DFT (GGA-PBE) results for a geometry-optimized Pm2Y structure.

Structure (extended XYZ):
```
6
Lattice="0.000 4.706 4.706 4.706 0.000 4.706 4.706 4.706 0.000" Properties=species:S:1:pos:R:3 pbc="T T T"
Pm 0.000 0.000 0.000
Pm 2.353 2.353 0.000
Pm 2.353 0.000 2.353
Pm 0.000 2.353 2.353
Y 3.529 3.529 3.529
Y 5.882 5.882 5.882
```

Calculated values
For the energy relative to the elements, the calculation gives 228 meV/atom. Its symmetry is Fd-3m. The volume comes out at 34.7 Å³ per atom.



Record 3
DFT (GGA-PBE) results for a geometry-optimized Pm2Y structure.

Structure (extended XYZ):
```
6
Lattice="0.000 6.406 6.406 6.406 0.000 6.406 6.406 6.406 0.000" Properties=species:S:1:pos:R:3 pbc="T T T"
Pm 0.000 0.000 0.000
Pm 3.203 3.203 0.000
Pm 3.203 0.000 3.203
Pm 0.000 3.203 3.203
Y 1.601 1.601 1.601
Y 11.210 11.210 11.210
```

Calculated values
For the energy relative to the elements, the calculation gives 2314 meV/atom. Its symmetry is Fd-3m. The volume comes out at 87.6 Å³ per atom.



Record 4
DFT (GGA-PBE) results for a geometry-optimized PmYZn structure.

Structure (extended XYZ):
```
3
Lattice="0.000 3.542 3.542 3.542 0.000 3.542 3.542 3.542 0.000" Properties=species:S:1:pos:R:3 pbc="T T T"
Pm 0.000 0.000 0.000
Y 3.542 3.542 3.542
Zn 1.771 1.771 1.771
```

Calculated values
For the energy relative to the elements, the calculation gives 17 meV/atom. Its symmetry is F-43m. The volume comes out at 29.6 Å³ per atom.



Record 5
DFT (GGA-PBE) results for a geometry-optimized PmYZr structure.

Structure (extended XYZ):
```
3
Lattice="0.000 3.722 3.722 3.722 0.000 3.722 3.722 3.722 0.000" Properties=species:S:1:pos:R:3 pbc="T T T"
Pm 0.000 0.000 0.000
Y 3.722 3.722 3.722
Zr 1.861 1.861 1.861
```

Calculated values
For the energy relative to the elements, the calculation gives 787 meV/atom. Its symmetry is F-43m. The volume comes out at 34.4 Å³ per atom.



Record 6
DFT (GGA-PBE) results for a geometry-optimized PmZn structure.

Structure (extended XYZ):
```
12
Lattice="4.868 0.000 0.000 0.000 9.595 0.000 0.000 0.000 6.373" Properties=species:S:1:pos:R:3 pbc="T T T"
Pm 0.000 0.290 0.000
Pm 0.000 3.380 4.297
Pm 0.000 6.215 1.110
Pm 0.000 9.304 3.186
Pm 2.434 2.067 1.798
Pm 2.434 7.528 4.985
Zn 0.000 3.337 0.962
Zn 0.000 6.258 4.148
Zn 2.434 1.321 4.792
Zn 2.434 4.507 6.128
Zn 2.434 5.088 2.942
Zn 2.434 8.274 1.605
```

Calculated values
For the energy relative to the elements, the calculation gives -203 meV/atom. Its symmetry is Pmc2_1. The volume comes out at 24.8 Å³ per atom.